1.
# Tb2FeCoSi2C (PBE, optimized geometry)
data_Tb2FeCoSi2C
_space_group_name_H-M_alt 'P 1'
_space_group_IT_number 1
_cell_length_a 5.6320
_cell_length_b 5.6320
_cell_length_c 6.8148
_cell_angle_alpha 126.61
_cell_angle_beta 126.61
_cell_angle_gamma 40.56
loop_
_space_group_symop_operation_xyz
'x,y,z'
loop_
_atom_site_label
_atom_site_type_symbol
_atom_site_fract_x
_atom_site_fract_y
_atom_site_fract_z
_atom_site_occupancy
Tb1 Tb 0.4381 0.4381 0.7052 1
Co1 Co 0.2005 0.2005 0.0906 1
Fe1 Fe 0.8007 0.8007 0.9120 1
Si1 Si 0.1598 0.1598 0.7111 1
C1 C 0.9969 0.9969 0.9963 1
Tb2 Tb 0.5625 0.5625 0.2950 1
Si2 Si 0.8415 0.8415 0.2899 1
# M_tot (μB per formula unit): 0.0
# Raw total energy (eV per cell): -49.57
# Space-group type: Cm, No. 8

***

2.
# Tm2FeCoSi2C (PBE, optimized geometry)
data_Tm2FeCoSi2C
_space_group_name_H-M_alt 'P 1'
_space_group_IT_number 1
_cell_length_a 5.5734
_cell_length_b 5.5734
_cell_length_c 6.6962
_cell_angle_alpha 126.45
_cell_angle_beta 126.45
_cell_angle_gamma 40.50
loop_
_space_group_symop_operation_xyz
'x,y,z'
loop_
_atom_site_label
_atom_site_type_symbol
_atom_site_fract_x
_atom_site_fract_y
_atom_site_fract_z
_atom_site_occupancy
Tm1 Tm 0.5615 0.5615 0.2937 1
Fe1 Fe 0.2012 0.2012 0.0920 1
Si1 Si 0.1546 0.1546 0.7030 1
C1 C 0.0029 0.0029 0.0036 1
Tm2 Tm 0.4379 0.4379 0.7058 1
Co1 Co 0.7976 0.7976 0.9057 1
Si2 Si 0.8443 0.8443 0.2962 1
# M_tot (μB per formula unit): 0.0
# Raw total energy (eV per cell): -49.38
# Space-group type: Cm, No. 8

***

3.
# Ta4FeCoC2 (PBE, optimized geometry)
data_Ta4FeCoC2
_space_group_name_H-M_alt 'P 1'
_space_group_IT_number 1
_cell_length_a 3.0702
_cell_length_b 3.0702
_cell_length_c 13.0261
_cell_angle_alpha 90.00
_cell_angle_beta 90.00
_cell_angle_gamma 120.00
loop_
_space_group_symop_operation_xyz
'x,y,z'
loop_
_atom_site_label
_atom_site_type_symbol
_atom_site_fract_x
_atom_site_fract_y
_atom_site_fract_z
_atom_site_occupancy
Ta1 Ta 0.0000 0.0000 0.3493 1
Fe1 Fe 0.0000 0.0000 0.0000 1
Co1 Co 0.6667 0.3333 0.5000 1
C1 C 0.3333 0.6667 0.2503 1
Ta2 Ta 0.0000 0.0000 0.6507 1
Ta3 Ta 0.6667 0.3333 0.1513 1
C2 C 0.3333 0.6667 0.7497 1
Ta4 Ta 0.6667 0.3333 0.8487 1
# M_tot (μB per formula unit): 1.2
# Raw total energy (eV per cell): -83.34
# Space-group type: P-6m2, No. 187

***

4.
# Y4FeCoC2 (PBE, optimized geometry)
data_Y4FeCoC2
_space_group_name_H-M_alt 'P 1'
_space_group_IT_number 1
_cell_length_a 3.5674
_cell_length_b 3.5674
_cell_length_c 14.0825
_cell_angle_alpha 90.00
_cell_angle_beta 90.00
_cell_angle_gamma 120.00
loop_
_space_group_symop_operation_xyz
'x,y,z'
loop_
_atom_site_label
_atom_site_type_symbol
_atom_site_fract_x
_atom_site_fract_y
_atom_site_fract_z
_atom_site_occupancy
C1 C 0.0000 0.0000 0.7545 1
Y1 Y 0.6667 0.3333 0.1451 1
Fe1 Fe 0.6667 0.3333 0.5000 1
Y2 Y 0.3333 0.6667 0.3407 1
Co1 Co 0.3333 0.6667 0.0000 1
Y3 Y 0.3333 0.6667 0.6593 1
C2 C 0.0000 0.0000 0.2455 1
Y4 Y 0.6667 0.3333 0.8549 1
# M_tot (μB per formula unit): 1.4
# Raw total energy (eV per cell): -58.95
# Space-group type: P-6m2, No. 187